1.
The following is a GGA-PBE calculation of LiZrBr after structural relaxation, from Alexandria via LeMat-Bulk.

abc: 3.375 3.422 12.842
angles: 90.00 97.42 90.00
Space group Pm (No. 6)
Unique sites:
1 Li 0.000 0.000 0.000 (multiplicity 1)
2 Li 0.364 0.500 0.751 (multiplicity 1)
3 Zr 0.146 0.500 0.296 (multiplicity 1)
4 Zr 0.719 0.000 0.446 (multiplicity 1)
5 Br 0.546 0.500 0.093 (multiplicity 1)
6 Br 0.826 0.000 0.672 (multiplicity 1)

Output
The value obtained for the polymorph energy (0 for the lowest one) is 167 meV/atom. The calculation puts the formation energy from raw total energies at -167 kJ/mol of formula units. As for the electronic total energy: -4.624 eV per atom.



2.
The following is a GGA-PBE calculation of AgGe2RuC after structural relaxation, from Alexandria via LeMat-Bulk.

abc: 5.146 5.146 3.879
angles: 90.00 90.00 90.00
Space group P4/mmm (No. 123)
Unique sites:
1 Ag 0.000 0.000 0.000 (multiplicity 1)
2 Ge 0.000 0.500 0.000 (multiplicity 2)
3 Ru 0.500 0.500 0.500 (multiplicity 1)
4 C 0.000 0.000 0.500 (multiplicity 1)

Output
For the formation enthalpy at 0 K, the calculation gives 188 kJ per mole of atoms. As for the electronic total energy: -4.167 eV per atom.